Density functional theory data (PBE with a Hubbard U) for crystalline Ni8B3SbO15 at its relaxed geometry.

Structure (CIF):
```
data_Ni8B3SbO15
_symmetry_space_group_name_H-M 'P -1'
_symmetry_Int_Tables_number 2
_cell_length_a 6.225
_cell_length_b 8.167
_cell_length_c 11.211
_cell_angle_alpha 104.55
_cell_angle_beta 94.13
_cell_angle_gamma 102.15
loop_
_symmetry_equiv_pos_as_xyz
'x,y,z'
'-x,-y,-z'
loop_
_atom_site_label
_atom_site_fract_x
_atom_site_fract_y
_atom_site_fract_z
Ni1 0.000 0.000 0.000
Ni2 0.000 0.000 0.500
Ni3 0.000 0.500 0.000
Ni4 0.050 0.329 0.211
Ni5 0.283 0.001 0.785
Ni6 0.333 0.326 0.499
Ni7 0.333 0.836 0.004
Ni8 0.334 0.333 0.000
Ni9 0.382 0.668 0.214
Ni10 0.500 0.000 0.500
B1 0.106 0.319 0.741
B2 0.227 0.020 0.265
B3 0.439 0.651 0.741
Sb1 0.175 0.675 0.500
O1 0.008 0.262 0.029
O2 0.030 0.584 0.204
O3 0.065 0.072 0.204
O4 0.075 0.268 0.604
O5 0.087 0.411 0.409
O6 0.235 0.920 0.594
O7 0.256 0.071 0.398
O8 0.269 0.264 0.794
O9 0.300 0.745 0.796
O10 0.327 0.072 0.969
O11 0.341 0.596 0.031
O12 0.362 0.922 0.206
O13 0.397 0.402 0.205
O14 0.405 0.596 0.603
O15 0.419 0.734 0.406
```

Calculated values
The calculation puts the total DFT energy (no corrections) at -5.92 eV per atom.